## Na3FeF6 (GGA+U)

Data for a geometry-optimized Na3FeF6 structure.

Computed properties:
Its total magnetization is 10.00 Bohr magnetons per cell. The calculated total energy comes out at -95.716 eV for the cell shown.

Lattice parameters (Å, degrees): 5.569 5.808 9.773 90.00 124.32 90.00
Space group P2_1/c (No. 14)
Asymmetric unit:
Na  0.000  0.000  0.000 x2
Na  0.227  0.057  0.744 x4
Fe  0.500  0.000  0.500 x2
F  0.160  0.178  0.447 x4
F  0.258  0.721  0.426 x4
F  0.394  0.059  0.274 x4